Entry 1:
The following is a PBE calculation of a relaxed structure of CeZrF7, from the Alexandria database.

Calculated values
ΔE_f (raw): -3.839 eV per atom
spin magnetization: 2.000 μB/cell

```
CeZrF7
1.0
6.3266 0.0000 0.0000
0.0000 5.9935 0.0000
-1.8969 0.0000 8.3733
Ce Zr F
2 2 14
Direct
0.1572 0.0000 0.1879 Ce
0.8428 0.5000 0.8121 Ce
0.3124 0.0081 0.7238 Zr
0.6876 0.5081 0.2762 Zr
0.0467 0.6982 0.0189 F
0.0728 0.7768 0.7091 F
0.1018 0.2706 0.7097 F
0.2657 0.0020 0.4813 F
0.3571 0.0139 0.9664 F
0.4465 0.2727 0.2551 F
0.4482 0.7419 0.2673 F
0.5518 0.2419 0.7327 F
0.5535 0.7727 0.7449 F
0.6429 0.5139 0.0336 F
0.7343 0.5020 0.5187 F
0.8982 0.7706 0.2903 F
0.9272 0.2768 0.2909 F
0.9533 0.1982 0.9811 F
```


Entry 2:
The following is a PBE calculation of a relaxed structure of Ce3Fe, from the Alexandria database.

Calculated values
uncorrected energy: -25.52 eV per cell
spin magnetization: 0.000 μB/cell

```
Ce3Fe
1.0
3.1607 0.0000 0.0000
0.0000 4.6844 0.0000
0.0000 0.0000 5.8005
Ce Fe
3 1
Direct
0.0000 0.0000 0.0000 Ce
0.0000 0.5000 0.2484 Ce
0.5000 0.5000 0.6753 Ce
0.5000 0.0000 0.5523 Fe
```


Entry 3:
The following is a PBE calculation of a relaxed structure of Ce3Fe, from the Alexandria database.

Calculated values
uncorrected energy: -26.01 eV per cell
spin magnetization: 0.001 μB/cell

```
Ce3Fe
1.0
-1.7164 4.7789 2.7996
1.7164 -4.7789 2.7996
1.7164 4.7789 -2.7996
Ce Fe
3 1
Direct
0.0000 0.0000 0.0000 Ce
0.3639 0.5513 0.8126 Ce
0.7388 0.5513 0.1874 Ce
0.3088 0.8088 0.5000 Fe
```


Entry 4:
The following is a PBE calculation of a relaxed structure of Ce3Fe, from the Alexandria database.

Calculated values
uncorrected energy: -209.43 eV per cell
spin magnetization: 0.000 μB/cell

```
Ce3Fe
1.0
11.3141 0.0000 0.0000
0.0000 11.3141 0.0000
0.0000 0.0000 5.7318
Ce Fe
24 8
Direct
0.0613 0.5846 0.2044 Ce
0.0846 0.9387 0.7044 Ce
0.1313 0.1917 0.9980 Ce
0.1311 0.6738 0.6943 Ce
0.1738 0.8689 0.1943 Ce
0.1917 0.3687 0.5020 Ce
0.3083 0.1313 0.5020 Ce
0.3262 0.6311 0.1943 Ce
0.3687 0.3083 0.9980 Ce
0.3689 0.8262 0.6943 Ce
0.4154 0.5613 0.7044 Ce
0.4387 0.9154 0.2044 Ce
0.5613 0.0846 0.7956 Ce
0.5846 0.4387 0.2956 Ce
0.6311 0.1738 0.3057 Ce
0.6313 0.6917 0.0020 Ce
0.6738 0.3689 0.8057 Ce
0.6917 0.8687 0.4980 Ce
0.8083 0.6313 0.4980 Ce
0.8262 0.1311 0.8057 Ce
0.8689 0.3262 0.3057 Ce
0.8687 0.8083 0.0020 Ce
0.9154 0.0613 0.2956 Ce
0.9387 0.4154 0.7956 Ce
0.0445 0.1653 0.5123 Fe
0.1653 0.4555 0.9877 Fe
0.3347 0.0445 0.9877 Fe
0.4555 0.3347 0.5123 Fe
0.5445 0.6653 0.4877 Fe
0.6653 0.9555 0.0123 Fe
0.8347 0.5445 0.0123 Fe
0.9555 0.8347 0.4877 Fe
```


Entry 5:
The following is a PBE calculation of a relaxed structure of CeFe5, from the Alexandria database.

Calculated values
uncorrected energy: -48.32 eV per cell
spin magnetization: 9.817 μB/cell

```
CeFe5
1.0
4.9878 0.0000 0.0000
-2.4939 4.3196 0.0000
0.0000 0.0000 4.0369
Ce Fe
1 5
Direct
0.0000 0.0000 0.0000 Ce
0.0000 0.5000 0.5000 Fe
0.3333 0.6667 0.0000 Fe
0.5000 0.0000 0.5000 Fe
0.5000 0.5000 0.5000 Fe
0.6667 0.3333 0.0000 Fe
```


Entry 6:
The following is a PBE calculation of a relaxed structure of Ce3GaFe, from the Alexandria database.

Calculated values
energy above the lowest structure with this stoichiometry: 0.026 eV per atom
spin magnetization: 0.000 μB/cell

```
Ce3GaFe
1.0
3.3530 0.0000 0.0000
-0.0198 7.7020 0.0000
-1.6646 -1.1776 8.2967
Ce Ga Fe
6 2 2
Direct
0.0095 0.1930 0.0241 Ce
0.1723 0.8702 0.3378 Ce
0.2082 0.3594 0.4171 Ce
0.7918 0.6406 0.5829 Ce
0.8277 0.1298 0.6622 Ce
0.9905 0.8070 0.9759 Ce
0.4149 0.4585 0.8316 Ga
0.5851 0.5415 0.1684 Ga
0.3715 0.9344 0.7402 Fe
0.6285 0.0656 0.2598 Fe
```


Entry 7:
The following is a PBE calculation of a relaxed structure of Ce6GaFe2, from the Alexandria database.

Calculated values
uncorrected energy: -57.35 eV per cell
spin magnetization: 0.000 μB/cell

```
Ce6GaFe2
1.0
4.8497 -2.4995 0.0000
4.8497 2.4995 0.0000
-1.1154 0.0000 8.4703
Ce Ga Fe
6 1 2
Direct
0.0509 0.0509 0.3599 Ce
0.3071 0.3071 0.8844 Ce
0.3882 0.3882 0.3356 Ce
0.6118 0.6118 0.6644 Ce
0.6929 0.6929 0.1156 Ce
0.9491 0.9491 0.6401 Ce
0.0000 0.0000 0.0000 Ga
0.2723 0.2723 0.6296 Fe
0.7277 0.7277 0.3704 Fe
```


Entry 8:
The following is a PBE calculation of a relaxed structure of CeGa2Fe, from the Alexandria database.

Calculated values
uncorrected energy: -20.68 eV per cell
spin magnetization: 2.525 μB/cell

```
CeGa2Fe
1.0
1.4628 0.8446 9.3959
-1.4628 0.8446 9.3959
0.0000 -1.6891 9.3959
Ce Ga Fe
1 2 1
Direct
0.0000 0.0000 0.0000 Ce
0.2368 0.2368 0.2368 Ga
0.7632 0.7632 0.7632 Ga
0.5000 0.5000 0.5000 Fe
```